# 1
Mg4HgCl8: optimized geometry, GGA-PBE.

As for the energy relative to the elements, uncorrected: -1.679 eV/atom. The calculation puts the size of the total moment at 0.00 μB/f.u. The raw total energy is -86.55 eV/cell.

The structure belongs to space group C2/m (No. 12); the cell edges are 18.460, 3.702 and 12.965 Å and the angles 90.00°, 133.69° and 90.00°. Symmetry generates all atoms from Mg at (0.153, 0.000, 0.482), Mg at (0.167, 0.500, 0.826), Hg at (0.000, 0.000, 0.000), Cl at (0.041, 0.000, 0.715), Cl at (0.155, 0.500, 0.614), Cl at (0.157, 0.500, 0.354) and Cl at (0.205, 0.500, 0.057).

---

# 2
RbCdRe3: optimized geometry, GGA-PBE.

The energy relative to the lowest polymorph listed for this composition is 767 meV per atom. The calculation puts the size of the total moment at 2.71 μB/f.u. The raw total energy is -19.45 eV/cell.

The structure belongs to space group Pm-3m (No. 221); the cell edges are 4.758, 4.758 and 4.758 Å and the angles 90.00°, 90.00° and 90.00°. Symmetry generates all atoms from Rb at (0.000, 0.000, 0.000), Cd at (0.500, 0.500, 0.500) and Re at (0.000, 0.000, 0.500).

---

# 3
KYSc4S8: optimized geometry, GGA-PBE.

As for the energy relative to the elements, uncorrected: -1.778 eV/atom. The calculation puts the size of the total moment at 0.00 μB/f.u. The raw total energy is -272.39 eV/cell.

The structure belongs to space group R3m (No. 160, hexagonal axes); the cell edges are 7.7884, 7.7884 and 19.8467 Å and the angles 90.00°, 90.00° and 120.00°. Symmetry generates all atoms from K at (0.0000, 0.0000, 0.0000), Y at (0.0000, 0.0000, 0.6377), Sc at (0.0000, 0.0000, 0.2602), Sc at (0.1736, 0.3472, 0.4643), S at (0.0000, 0.0000, 0.3903), S at (0.0000, 0.0000, 0.8618), S at (0.0378, 0.5189, 0.3950) and S at (0.1724, 0.3448, 0.2133).

---

# 4
Hg3GeF4: optimized geometry, GGA-PBE.

As for the energy relative to the elements, uncorrected: -1.445 eV/atom. The calculation puts the size of the total moment at 0.00 μB/f.u. The raw total energy is -24.57 eV/cell.

The structure belongs to space group P1 (No. 1); the cell edges are 5.224, 6.300 and 6.360 Å and the angles 112.90°, 94.50° and 92.11°. Symmetry generates all atoms from Hg at (0.000, 0.000, 0.000), Hg at (0.181, 0.156, 0.676), Hg at (0.801, 0.792, 0.257), Ge at (0.538, 0.527, 0.392), F at (0.191, 0.502, 0.344), F at (0.528, 0.752, 0.686), F at (0.555, 0.292, 0.102) and F at (0.612, 0.322, 0.516).

---

# 5
ThIrRh: optimized geometry, GGA-PBE.

The energy relative to the lowest polymorph listed for this composition is 312 meV per atom. The calculation puts the size of the total moment at 0.00 μB/f.u. The raw total energy is -50.14 eV/cell.

The structure belongs to space group I4mm (No. 107); the cell edges are 3.696, 3.696 and 8.613 Å and the angles 90.00°, 90.00° and 90.00°. Symmetry generates all atoms from Th at (0.000, 0.000, 0.000), Ir at (0.000, 0.000, 0.336) and Rh at (0.000, 0.000, 0.673).

---

# 6
Ce2Si3Rh2: optimized geometry, GGA-PBE.

The energy relative to the lowest polymorph listed for this composition is 0 meV per atom. As for the energy relative to the elements, uncorrected: -0.918 eV/atom. The calculation puts the size of the total moment at 0.36 μB/f.u. The raw total energy is -197.06 eV/cell.

The structure belongs to space group Cmcm (No. 63); the cell edges are 4.158, 17.971 and 6.861 Å and the angles 90.00°, 90.00° and 90.00°. Symmetry generates all atoms from Ce at (0.000, 0.054, 0.250), Ce at (0.000, 0.158, 0.750), Si at (0.000, 0.220, 0.250), Si at (0.000, 0.440, 0.070) and Rh at (0.000, 0.308, 0.545).